Entry 1:
Material: Ac3Nd2Er2
Method: DFT, PBE
State: optimized geometry

Properties
- DFT formation energy (meV/atom) = 57

Cell: 5.646 25.170 3.737 Å, 90.00 90.00 90.00°
Space group Cmmm (No. 65)
Symmetry-distinct sites (fractional):
Ac  0.000  0.000  0.000 [2 per cell]
Ac  0.000  0.155  0.000 [4 per cell]
Nd  0.000  0.426  0.500 [4 per cell]
Er  0.000  0.285  0.500 [4 per cell]

=====

Entry 2:
Material: MgPtIN2
Method: DFT, PBE
State: optimized geometry

Properties
- raw formation energy (meV/atom) = 939

Cell: 3.882 3.882 7.402 Å, 90.00 90.00 90.00°
Space group P4/mmm (No. 123)
Symmetry-distinct sites (fractional):
Mg  0.000  0.000  0.000 [1 per cell]
Pt  0.500  0.500  0.500 [1 per cell]
I  0.500  0.500  0.000 [1 per cell]
N  0.000  0.500  0.500 [2 per cell]

=====

Entry 3:
Material: LiMg2FeOs
Method: DFT, PBE
State: optimized geometry

Properties
- DFT formation energy (meV/atom) = 648

Cell: 5.065 5.065 4.515 Å, 90.00 90.00 90.00°
Space group P4/mmm (No. 123)
Symmetry-distinct sites (fractional):
Li  0.000  0.000  0.000 [1 per cell]
Mg  0.000  0.500  0.500 [2 per cell]
Fe  0.500  0.500  0.000 [1 per cell]
Os  0.500  0.500  0.500 [1 per cell]